LaV3Te | PBE | relaxed

For the uncorrected formation energy, the calculation gives 1.63 eV per atom. The calculation puts the energy above the lowest structure with this stoichiometry at 760 meV/atom. The calculation puts the magnetization at 0.01 μB/f.u.

The space group is Pm-3m (No. 221) and the conventional cell measures 4.706, 4.706 and 4.706 Å, with angles of 90.00, 90.00 and 90.00 degrees. The distinct sites, in fractional coordinates, are La at (0.000, 0.000, 0.000), V at (0.000, 0.000, 0.500) and Te at (0.500, 0.500, 0.500).